DFT (PBE-GGA) results for a relaxed CsRbH2Pt crystal.

It has space group Imm2 (No. 44), with a = 5.809 Å, b = 6.043 Å, c = 8.004 Å, α = 90.00°, β = 90.00° and γ = 90.00°. The asymmetric unit holds Cs at (0.000, 0.000, 0.000), Rb at (0.000, 0.000, 0.505), H at (0.000, 0.500, 0.003), H at (0.000, 0.500, 0.110) and Pt at (0.000, 0.500, 0.758).

The calculation puts the mass density at 4.911 Mg/m³. As for the polymorph energy (0 for the lowest one): 290.9 meV per atom. For the calculated total energy, the calculation gives -2.95 eV per atom.

=====

DFT (PBE-GGA) results for a relaxed CsRbH2Pt crystal.

It has space group Pm (No. 6), with a = 5.812 Å, b = 3.519 Å, c = 6.414 Å, α = 90.00°, β = 90.03° and γ = 90.00°. The asymmetric unit holds Cs at (0.000, 0.000, 0.000), Rb at (0.500, 0.000, 0.438), H at (0.001, 0.000, 0.507), H at (0.499, 0.500, 0.077) and Pt at (0.000, 0.500, 0.508).

The calculation puts the mass density at 5.260 Mg/m³. As for the polymorph energy (0 for the lowest one): 314.8 meV per atom. For the calculated total energy, the calculation gives -2.93 eV per atom.

=====

DFT (PBE-GGA) results for a relaxed CsRbH2Pt crystal.

It has space group P1 (No. 1), with a = 3.459 Å, b = 4.282 Å, c = 8.677 Å, α = 103.94°, β = 90.09° and γ = 90.01°. The asymmetric unit holds Cs at (0.000, 0.000, 0.000), Rb at (0.999, 0.278, 0.560), H at (0.500, 0.413, 0.821), H at (0.997, 0.597, 0.298) and Pt at (0.497, 0.659, 0.304).

The calculation puts the mass density at 5.531 Mg/m³. As for the polymorph energy (0 for the lowest one): 275.0 meV per atom. For the calculated total energy, the calculation gives -2.97 eV per atom.